Record 1
Crystalline NaSrScPb2 at its relaxed geometry, computed with PBE-GGA.

Unit cell a=5.6862 b=5.6862 c=5.9774 alpha=90.00 beta=90.00 gamma=90.00
Closest atoms and distances in Å follow each position.
Atoms (fractional coordinates):
Na: 0.0000 0.0000 0.0000  4 Sr 4.02, 8 Pb 4.13
Sr: 0.5000 0.5000 0.0000  2 Sc 2.99
Sc: 0.5000 0.5000 0.5000  4 Pb 2.84, 2 Sr 2.99
Pb: 0.0000 0.5000 0.5000  2 Sc 2.84
Pb: 0.5000 0.0000 0.5000  2 Sc 2.84

* total magnetization: 0.4 μB/cell
* calculated formation energy: 141 meV per atom
* Fermi-level density of states: 2.318 states/eV/cell

***

Record 2
Crystalline CsNb2Rh at its relaxed geometry, computed with PBE-GGA.

Unit cell a=6.7734 b=6.7734 c=6.7734 alpha=90.00 beta=90.00 gamma=90.00
Closest atoms and distances in Å follow each position.
Atoms (fractional coordinates):
Cs: 0.0000 0.0000 0.0000  8 Nb 2.93
Cs: 0.0000 0.5000 0.5000  8 Nb 2.93
Cs: 0.5000 0.0000 0.5000  8 Nb 2.93
Cs: 0.5000 0.5000 0.0000  8 Nb 2.93
Nb: 0.2500 0.2500 0.2500  4 Rh 2.93, 4 Cs 2.93
Nb: 0.2500 0.2500 0.7500  4 Cs 2.93, 4 Rh 2.93
Nb: 0.2500 0.7500 0.2500  4 Rh 2.93, 4 Cs 2.93
Nb: 0.2500 0.7500 0.7500  4 Rh 2.93, 4 Cs 2.93
Nb: 0.7500 0.2500 0.2500  4 Rh 2.93, 4 Cs 2.93
Nb: 0.7500 0.2500 0.7500  4 Rh 2.93, 4 Cs 2.93
Nb: 0.7500 0.7500 0.2500  4 Rh 2.93, 4 Cs 2.93
Nb: 0.7500 0.7500 0.7500  4 Rh 2.93, 4 Cs 2.93
Rh: 0.0000 0.0000 0.5000  8 Nb 2.93
Rh: 0.0000 0.5000 0.0000  8 Nb 2.93
Rh: 0.5000 0.0000 0.0000  8 Nb 2.93
Rh: 0.5000 0.5000 0.5000  8 Nb 2.93

* total magnetization: 0.0 μB/cell
* calculated formation energy: 1212 meV per atom
* Fermi-level density of states: 13.934 states/eV/cell
* relative energy among the computed polymorphs: 0 meV/atom

***

Record 3
Crystalline K2TaCl6 at its relaxed geometry, computed with PBE-GGA.

Unit cell a=7.2303 b=7.7462 c=12.0521 alpha=90.00 beta=124.90 gamma=90.00
Closest atoms and distances in Å follow each position.
Atoms (fractional coordinates):
K: 0.2254 0.0811 0.2497  8 Cl 3.20-3.44
K: 0.2254 0.4189 0.7497  8 Cl 3.20-3.44
K: 0.7746 0.5811 0.2503  8 Cl 3.20-3.44
K: 0.7746 0.9189 0.7503  8 Cl 3.20-3.44
Ta: 0.5000 0.0000 0.0000  6 Cl 2.41-2.44
Ta: 0.5000 0.5000 0.5000  6 Cl 2.41-2.44
Cl: 0.1812 0.1691 0.9592  1 Ta 2.44
Cl: 0.1812 0.3309 0.4592  1 Ta 2.44
Cl: 0.2919 0.7343 0.9604  1 Ta 2.43
Cl: 0.2919 0.7657 0.4604  1 Ta 2.43
Cl: 0.3471 0.0142 0.7622  1 Ta 2.41
Cl: 0.3471 0.4858 0.2622  1 Ta 2.41
Cl: 0.6529 0.5142 0.7378  1 Ta 2.41
Cl: 0.6529 0.9858 0.2378  1 Ta 2.41
Cl: 0.7081 0.2343 0.5396  1 Ta 2.43
Cl: 0.7081 0.2657 0.0396  1 Ta 2.43
Cl: 0.8188 0.6691 0.5408  1 Ta 2.44
Cl: 0.8188 0.8309 0.0408  1 Ta 2.44

* total magnetization: 2.0 μB/cell
* Fermi-level density of states: 13.763 states/eV/cell
* formation energy without anion corrections: -14.50 eV/f.u.